Entry from the Alexandria database: a relaxed structure of TaTlB2Rh (PBE).

Results
As for the formation energy: 2.306 eV per atom. As for the calculated total energy: -4.68 eV per atom. The density of states at the Fermi level is 0.976 states/eV per atom. Its energy above the most stable polymorph in this dataset is 97.7 kJ per mole of atoms.

Cell: 4.1684 4.1684 5.1522 Å, 90.00 90.00 90.00°
Space group P4/mmm (No. 123)
Asymmetric unit:
Ta  0.0000  0.0000  0.0000 (multiplicity 1)
Tl  0.5000  0.5000  0.5000 (multiplicity 1)
B  0.0000  0.5000  0.5000 (multiplicity 2)
Rh  0.5000  0.5000  0.0000 (multiplicity 1)


Entry from the Alexandria database: a relaxed structure of TaB2RhW (PBE).

Results
As for the formation energy: 1.373 eV per atom. As for the calculated total energy: -7.73 eV per atom. The density of states at the Fermi level is 1.049 states/eV per atom.

Cell: 3.9326 3.9326 5.0631 Å, 90.00 90.00 90.00°
Space group P4/mmm (No. 123)
Asymmetric unit:
Ta  0.0000  0.0000  0.0000 (multiplicity 1)
B  0.0000  0.5000  0.5000 (multiplicity 2)
Rh  0.5000  0.5000  0.5000 (multiplicity 1)
W  0.5000  0.5000  0.0000 (multiplicity 1)


Entry from the Alexandria database: a relaxed structure of TaZn2B2Rh5 (PBE).

Results
As for the formation energy: -0.352 eV per atom. As for the calculated total energy: -6.80 eV per atom. The density of states at the Fermi level is 0.282 states/eV per atom.

Cell: 9.5632 9.5632 2.9204 Å, 90.00 90.00 90.00°
Space group P4/mbm (No. 127)
Asymmetric unit:
Ta  0.0000  0.0000  0.0000 (multiplicity 2)
Zn  0.1770  0.3230  0.0000 (multiplicity 4)
B  0.1206  0.6206  0.0000 (multiplicity 4)
Rh  0.0000  0.5000  0.5000 (multiplicity 2)
Rh  0.0753  0.7822  0.5000 (multiplicity 8)


Entry from the Alexandria database: a relaxed structure of ZrTaB2Rh (PBE).

Results
As for the formation energy: 1.470 eV per atom. As for the calculated total energy: -6.75 eV per atom. The density of states at the Fermi level is 1.151 states/eV per atom.

Cell: 4.2076 4.2076 5.1616 Å, 90.00 90.00 90.00°
Space group P4/mmm (No. 123)
Asymmetric unit:
Zr  0.0000  0.0000  0.0000 (multiplicity 1)
Ta  0.0000  0.0000  0.5000 (multiplicity 1)
B  0.0000  0.5000  0.5000 (multiplicity 2)
Rh  0.5000  0.5000  0.0000 (multiplicity 1)


Entry from the Alexandria database: a relaxed structure of TbBRh2 (PBE).

Results
As for the formation energy: -0.409 eV per atom. As for the calculated total energy: -6.91 eV per atom. The density of states at the Fermi level is 0.372 states/eV per atom.

Cell: 3.5051 3.5051 18.0649 Å, 90.00 90.00 120.00°
Space group R-3m (No. 166, hexagonal axes)
Asymmetric unit:
Tb  0.0000  0.0000  0.0000 (multiplicity 3)
B  0.0000  0.0000  0.5000 (multiplicity 3)
Rh  0.0000  0.0000  0.2170 (multiplicity 6)


Entry from the Alexandria database: a relaxed structure of Tb3B2Rh7 (PBE).

Results
As for the formation energy: -0.699 eV per atom. As for the calculated total energy: -7.26 eV per atom. The density of states at the Fermi level is 0.815 states/eV per atom.

Cell: 4.2051 4.2051 22.3585 Å, 90.00 90.00 90.00°
Space group I4/mmm (No. 139)
Asymmetric unit:
Tb  0.0000  0.0000  0.0000 (multiplicity 2)
Tb  0.0000  0.0000  0.1886 (multiplicity 4)
B  0.0000  0.0000  0.4061 (multiplicity 4)
Rh  0.0000  0.0000  0.3144 (multiplicity 4)
Rh  0.0000  0.0000  0.5000 (multiplicity 2)
Rh  0.0000  0.5000  0.0954 (multiplicity 8)


Entry from the Alexandria database: a relaxed structure of TbB2Rh3 (PBE).

Results
As for the formation energy: -0.524 eV per atom. As for the calculated total energy: -7.20 eV per atom. The density of states at the Fermi level is 0.469 states/eV per atom.

Cell: 7.9510 7.7921 5.3848 Å, 90.00 90.00 90.00°
Space group Cmcm (No. 63)
Asymmetric unit:
Tb  0.0000  0.1486  0.2500 (multiplicity 4)
B  0.2158  0.5000  0.0000 (multiplicity 8)
Rh  0.0000  0.4690  0.7500 (multiplicity 4)
Rh  0.1937  0.1776  0.7500 (multiplicity 8)


Entry from the Alexandria database: a relaxed structure of TbBRh (PBE).

Results
As for the formation energy: -0.277 eV per atom. As for the calculated total energy: -6.50 eV per atom. The density of states at the Fermi level is 0.697 states/eV per atom. Its energy above the most stable polymorph in this dataset is 29.9 kJ per mole of atoms.

Cell: 4.6114 4.6114 9.2096 Å, 90.00 90.00 90.00°
Space group I4_1md (No. 109)
Asymmetric unit:
Tb  0.0000  0.0000  0.0000 (multiplicity 4)
B  0.0000  0.0000  0.3086 (multiplicity 4)
Rh  0.0000  0.0000  0.5205 (multiplicity 4)